# 1
SrCuP2: optimized geometry, PBE-GGA.

a b c (Å): 4.3759 4.5892 4.3829
angles (deg): 92.40 90.00 90.00
Last column: nearest neighbours and their distance in Å.
Element x y z (fractional)
Cu 0.5000 0.0582 0.7683  4 P 2.21-2.44
P 0.0000 0.9874 0.9979  2 Cu 2.44, 2 P 2.50
P 0.5000 0.9573 0.2710  2 Cu 2.21-2.27
Sr 0.0000 0.4970 0.4628  8 P 3.04-3.38, 2 Cu 3.30

Calculated values
Density of states at the Fermi level = 1.1 states/eV per cell
Total DFT energy (no corrections) = -4.576 eV/atom
Energy relative to the elements = -1.704 eV/f.u.

# 2
SrCuP2: optimized geometry, PBE-GGA.

a b c (Å): 4.3521 4.3558 4.0535
angles (deg): 90.00 90.00 90.00
Last column: nearest neighbours and their distance in Å.
Element x y z (fractional)
Cu 0.0000 0.5000 0.5000  8 P 2.97-2.98, 4 Sr 3.08
P 0.0000 0.0000 0.0000  4 Sr 2.97, 4 Cu 2.98, 4 P 3.08
P 0.5000 0.5000 0.0000  4 Cu 2.97, 4 Sr 2.98, 4 P 3.08
Sr 0.5000 0.0000 0.5000  8 P 2.97-2.98, 4 Cu 3.08

Calculated values
Density of states at the Fermi level = 1.6 states/eV per cell
Total DFT energy (no corrections) = -4.142 eV/atom
Energy relative to the elements = 0.029 eV/f.u.

# 3
SrCuP4: optimized geometry, PBE-GGA.

a b c (Å): 5.4517 5.4517 5.4517
angles (deg): 60.00 60.00 60.00
Last column: nearest neighbours and their distance in Å.
Element x y z (fractional)
Sr 0.7500 0.7500 0.7500  12 P 3.25, 4 Cu 3.34
Cu 0.0000 0.0000 0.0000  12 P 3.16, 4 Sr 3.34
P 0.9293 0.3569 0.3569  3 P 2.33
P 0.3569 0.3569 0.9293  3 P 2.33
P 0.3569 0.9293 0.3569  3 P 2.33
P 0.3569 0.3569 0.3569  3 P 2.33

Calculated values
Density of states at the Fermi level = 1.7 states/eV per cell
Total DFT energy (no corrections) = -4.466 eV/atom
Energy relative to the elements = 0.619 eV/f.u.